Compound: LiLa2ScRu
Source: Alexandria
Functional: PBE-GGA
Structure: optimized geometry

For the density of states at the Fermi level, the calculation gives 0.8668 states/eV per atom. As for the distance to the lowest polymorph of the same formula: 0.572 eV per atom.

a b c (Å): 5.459 5.459 4.244
angles (deg): 90.00 90.00 90.00
Element x y z (fractional)
Li1 0.000 0.000 0.000
La1 0.000 0.500 0.000
La2 0.500 0.000 0.000
Sc1 0.500 0.500 0.500
Ru1 0.000 0.000 0.500


Compound: Na2In5Au3
Source: Alexandria
Functional: PBE-GGA
Structure: optimized geometry

For the density of states at the Fermi level, the calculation gives 0.4238 states/eV per atom. As for the distance to the lowest polymorph of the same formula: 0.000 eV per atom.

a b c (Å): 13.850 13.850 7.681
angles (deg): 90.00 90.00 161.07
Element x y z (fractional)
Na1 0.022 0.978 0.500
Na2 0.323 0.677 0.415
Na3 0.677 0.323 0.915
Na4 0.978 0.022 0.000
In1 0.099 0.901 0.120
In2 0.205 0.795 0.208
In3 0.208 0.792 0.624
In4 0.378 0.622 0.976
In5 0.448 0.552 0.336
In6 0.552 0.448 0.836
In7 0.622 0.378 0.476
In8 0.792 0.208 0.124
In9 0.795 0.205 0.708
In10 0.901 0.099 0.620
Au1 0.110 0.890 0.738
Au2 0.272 0.728 0.914
Au3 0.456 0.544 0.713
Au4 0.544 0.456 0.213
Au5 0.728 0.272 0.414
Au6 0.890 0.110 0.238


Compound: Ta3CSe
Source: Alexandria
Functional: PBE-GGA
Structure: optimized geometry

For the density of states at the Fermi level, the calculation gives 1.2749 states/eV per atom. For the energy relative to the elements, uncorrected, the calculation gives 0.25 eV/atom. As for the distance to the lowest polymorph of the same formula: 0.000 eV per atom.

a b c (Å): 4.316 4.316 4.316
angles (deg): 90.00 90.00 90.00
Element x y z (fractional)
Ta1 0.000 0.000 0.500
Ta2 0.000 0.500 0.000
Ta3 0.500 0.000 0.000
C1 0.000 0.000 0.000
Se1 0.500 0.500 0.500


Ordered theoretical density results: 5.66 8.41 13.09; unit g/cm³.